Entry 1:
Material: SrLiPrTe3
Method: DFT, PBE-GGA
State: relaxed

Properties
formation energy from raw total energies = -1.425 eV/atom
space-group type = P2_1/m (11)

Cell and atoms, written as extended XYZ:
```
12
Lattice="9.404 0.000 0.000 0.000 4.526 0.000 -2.131 0.000 9.614" Properties=species:S:1:pos:R:3 pbc="T T T"
Sr 1.202 1.131 2.265
Sr 6.071 3.394 7.349
Li -0.456 1.131 5.632
Li 7.729 3.394 3.982
Pr 1.337 3.394 8.009
Pr 5.936 1.131 1.605
Te -0.905 1.131 8.370
Te 0.966 3.394 4.856
Te 3.678 3.394 1.643
Te 3.595 1.131 7.971
Te 6.307 1.131 4.758
Te 8.177 3.394 1.244
```

Entry 2:
Material: Sr3LiPr3Te8
Method: DFT, PBE-GGA
State: relaxed

Properties
formation energy from raw total energies = -1.452 eV/atom
space-group type = R-3m (166)

Cell and atoms, written as extended XYZ:
```
15
Lattice="4.583 2.646 7.643 -4.583 2.646 7.643 0.000 -5.292 7.643" Properties=species:S:1:pos:R:3 pbc="T T T"
Sr -2.291 -1.323 7.643
Sr -2.291 1.323 15.286
Sr 0.000 2.646 7.643
Li 0.000 0.000 11.464
Pr -4.583 0.000 11.464
Pr -2.291 1.323 3.821
Pr 2.291 1.323 3.821
Te -2.276 -1.314 13.236
Te 0.000 0.000 5.660
Te 0.000 -2.628 9.693
Te -2.276 1.314 9.693
Te 2.276 -1.314 13.236
Te 0.000 2.628 13.236
Te 0.000 0.000 17.269
Te 2.276 1.314 9.693
```

Entry 3:
Material: Sr3Li2Pr2Tl4
Method: DFT, PBE-GGA
State: relaxed

Properties
D(E_F) = 11.481 states/eV per cell
space-group type = P-3m1 (164)
energy relative to the elements = -0.185 eV per atom

Cell and atoms, written as extended XYZ:
```
11
Lattice="5.352 0.000 0.000 -2.676 4.635 0.000 0.000 0.000 14.875" Properties=species:S:1:pos:R:3 pbc="T T T"
Sr 0.000 0.000 0.000
Sr 0.000 0.000 3.829
Sr 0.000 0.000 11.047
Li 0.000 3.090 2.132
Li 2.676 1.545 12.744
Pr 0.000 3.090 8.507
Pr 2.676 1.545 6.368
Tl 0.000 3.090 5.248
Tl 0.000 3.090 12.888
Tl 2.676 1.545 1.988
Tl 2.676 1.545 9.627
```

Entry 4:
Material: SrLiPrZn
Method: DFT, PBE-GGA
State: relaxed

Properties
D(E_F) = 3.798 states/eV per cell
space-group type = F-43m (216)
energy relative to the elements = -0.045 eV per atom

Cell and atoms, written as extended XYZ:
```
4
Lattice="0.000 3.870 3.870 3.870 0.000 3.870 3.870 3.870 0.000" Properties=species:S:1:pos:R:3 pbc="T T T"
Sr 0.000 0.000 0.000
Li 5.805 5.805 5.805
Pr 3.870 3.870 3.870
Zn 1.935 1.935 1.935
```

Entry 5:
Material: LiTbPr
Method: DFT, PBE-GGA
State: relaxed

Properties
D(E_F) = 3.178 states/eV per cell
ΔE to the lowest computed polymorph = 0.049 eV per atom
space-group type = P3m1 (156)
energy relative to the elements = 0.103 eV per atom

Cell and atoms, written as extended XYZ:
```
3
Lattice="3.552 0.000 0.000 -1.776 3.076 0.000 0.000 0.000 8.442" Properties=species:S:1:pos:R:3 pbc="T T T"
Li 0.000 0.000 0.000
Tb 1.776 1.025 2.720
Pr 0.000 2.051 5.622
```

Entry 6:
Material: LiTbPr2
Method: DFT, PBE-GGA
State: relaxed

Properties
D(E_F) = 3.764 states/eV per cell
ΔE to the lowest computed polymorph = 0.010 eV per atom
space-group type = R3m (160)
energy relative to the elements = 0.070 eV per atom

Cell and atoms, written as extended XYZ:
```
4
Lattice="1.812 1.046 11.434 -1.812 1.046 11.434 0.000 -2.093 11.434" Properties=species:S:1:pos:R:3 pbc="T T T"
Li 0.000 0.000 0.000
Tb 0.000 0.000 5.734
Pr 0.000 0.000 14.254
Pr 0.000 0.000 20.074
```

Entry 7:
Material: LiTbPr2
Method: DFT, PBE-GGA
State: relaxed

Properties
D(E_F) = 4.033 states/eV per cell
ΔE to the lowest computed polymorph = 0.055 eV per atom
space-group type = P3m1 (156)
energy relative to the elements = 0.115 eV per atom

Cell and atoms, written as extended XYZ:
```
4
Lattice="3.576 0.000 0.000 -1.788 3.097 0.000 0.000 0.000 12.001" Properties=species:S:1:pos:R:3 pbc="T T T"
Li 0.000 0.000 0.000
Tb 0.000 2.065 5.811
Pr 0.000 0.000 8.712
Pr 1.788 1.032 2.866
```

Entry 8:
Material: LiTbPr2
Method: DFT, PBE-GGA
State: relaxed

Properties
D(E_F) = 5.285 states/eV per cell
ΔE to the lowest computed polymorph = 0.098 eV per atom
space-group type = R-3m (166)
energy relative to the elements = 0.158 eV per atom

Cell and atoms, written as extended XYZ:
```
4
Lattice="1.775 1.025 12.496 -1.775 1.025 12.496 0.000 -2.050 12.496" Properties=species:S:1:pos:R:3 pbc="T T T"
Li 0.000 0.000 0.000
Tb 0.000 0.000 18.744
Pr 0.000 0.000 3.332
Pr 0.000 0.000 34.157
```

Entry 9:
Material: LiTb2Pr
Method: DFT, PBE-GGA
State: relaxed

Properties
D(E_F) = 4.801 states/eV per cell
ΔE to the lowest computed polymorph = 0.045 eV per atom
space-group type = R3m (160)
energy relative to the elements = 0.121 eV per atom

Cell and atoms, written as extended XYZ:
```
4
Lattice="1.777 1.026 11.372 -1.777 1.026 11.372 0.000 -2.052 11.372" Properties=species:S:1:pos:R:3 pbc="T T T"
Li 0.000 0.000 0.000
Tb 0.000 0.000 14.072
Tb 0.000 0.000 20.050
Pr 0.000 0.000 28.426
```

Entry 10:
Material: LiTb2Pr
Method: DFT, PBE-GGA
State: relaxed

Properties
D(E_F) = 5.818 states/eV per cell
ΔE to the lowest computed polymorph = 0.000 eV per atom
space-group type = P4/mmm (123)
energy relative to the elements = 0.076 eV per atom

Cell and atoms, written as extended XYZ:
```
4
Lattice="3.692 0.000 0.000 0.000 3.692 0.000 0.000 0.000 8.786" Properties=species:S:1:pos:R:3 pbc="T T T"
Li 0.000 0.000 0.000
Tb 1.846 1.846 1.890
Tb 1.846 1.846 6.896
Pr 0.000 0.000 4.393
```

Entry 11:
Material: LiTbPr4
Method: DFT, PBE-GGA
State: relaxed

Properties
D(E_F) = 8.766 states/eV per cell
space-group type = P4/mmm (123)
energy relative to the elements = 0.043 eV per atom

Cell and atoms, written as extended XYZ:
```
6
Lattice="3.698 0.000 0.000 0.000 3.698 0.000 0.000 0.000 14.503" Properties=species:S:1:pos:R:3 pbc="T T T"
Li 0.000 0.000 0.000
Tb 1.849 1.849 7.251
Pr 0.000 0.000 4.710
Pr 0.000 0.000 9.793
Pr 1.849 1.849 2.129
Pr 1.849 1.849 12.374
```

Entry 12:
Material: LiTbPr2
Method: DFT, PBE-GGA
State: relaxed

Properties
D(E_F) = 5.587 states/eV per cell
ΔE to the lowest computed polymorph = 0.000 eV per atom
space-group type = P4/mmm (123)
energy relative to the elements = 0.060 eV per atom

Cell and atoms, written as extended XYZ:
```
4
Lattice="3.671 0.000 0.000 0.000 3.671 0.000 0.000 0.000 9.307" Properties=species:S:1:pos:R:3 pbc="T T T"
Li 0.000 0.000 0.000
Tb 0.000 0.000 4.654
Pr 1.836 1.836 2.143
Pr 1.836 1.836 7.164
```

Entry 13:
Material: LiTb4Pr5
Method: DFT, PBE-GGA
State: relaxed

Properties
D(E_F) = 13.629 states/eV per cell
space-group type = P4/mmm (123)
energy relative to the elements = 0.033 eV per atom

Cell and atoms, written as extended XYZ:
```
10
Lattice="3.649 0.000 0.000 0.000 3.649 0.000 0.000 0.000 24.797" Properties=species:S:1:pos:R:3 pbc="T T T"
Li 0.000 0.000 0.000
Tb 0.000 0.000 4.697
Tb 0.000 0.000 9.833
Tb 0.000 0.000 14.965
Tb 0.000 0.000 20.101
Pr 1.825 1.825 2.180
Pr 1.825 1.825 7.274
Pr 1.825 1.825 12.399
Pr 1.825 1.825 17.523
Pr 1.825 1.825 22.617
```

Entry 14:
Material: LiTbPr
Method: DFT, PBE-GGA
State: relaxed

Properties
D(E_F) = 7.357 states/eV per cell
ΔE to the lowest computed polymorph = 0.073 eV per atom
space-group type = P4/nmm (129)
energy relative to the elements = 0.127 eV per atom

Cell and atoms, written as extended XYZ:
```
6
Lattice="3.649 0.000 0.000 0.000 3.649 0.000 0.000 0.000 13.484" Properties=species:S:1:pos:R:3 pbc="T T T"
Li 0.912 2.737 0.000
Li 2.737 0.912 0.000
Tb 0.912 0.912 5.486
Tb 2.737 2.737 7.998
Pr 0.912 0.912 10.547
Pr 2.737 2.737 2.937
```

Entry 15:
Material: LiTb2Pr
Method: DFT, PBE-GGA
State: relaxed

Properties
D(E_F) = 6.179 states/eV per cell
ΔE to the lowest computed polymorph = 0.096 eV per atom
space-group type = P4/mmm (123)
energy relative to the elements = 0.172 eV per atom

Cell and atoms, written as extended XYZ:
```
4
Lattice="5.731 0.000 0.000 0.000 5.731 0.000 0.000 0.000 3.711" Properties=species:S:1:pos:R:3 pbc="T T T"
Li 0.000 0.000 0.000
Tb 0.000 2.865 1.855
Tb 2.865 0.000 1.855
Pr 2.865 2.865 0.000
```

Entry 16:
Material: LiTbPr
Method: DFT, PBE-GGA
State: relaxed

Properties
D(E_F) = 6.161 states/eV per cell
ΔE to the lowest computed polymorph = 0.000 eV per atom
space-group type = C2/m (12)
energy relative to the elements = 0.054 eV per atom

Cell and atoms, written as extended XYZ:
```
6
Lattice="2.606 -2.608 0.000 2.606 2.608 0.000 -0.017 0.000 13.022" Properties=species:S:1:pos:R:3 pbc="T T T"
Li 1.297 0.000 0.653
Li 3.898 0.000 12.370
Tb 1.296 0.000 10.307
Tb 3.899 0.000 2.715
Pr 1.293 0.000 5.158
Pr 3.902 0.000 7.864
```

Entry 17:
Material: LiTbPr
Method: DFT, PBE-GGA
State: relaxed

Properties
D(E_F) = 3.996 states/eV per cell
ΔE to the lowest computed polymorph = 0.026 eV per atom
space-group type = I4mm (107)
energy relative to the elements = 0.081 eV per atom

Cell and atoms, written as extended XYZ:
```
3
Lattice="-1.878 1.878 6.236 1.878 -1.878 6.236 1.878 1.878 -6.236" Properties=species:S:1:pos:R:3 pbc="T T T"
Li 0.000 0.000 0.000
Tb 0.000 0.000 4.412
Pr 0.000 0.000 8.210
```

Entry 18:
Material: LiTb2Pr
Method: DFT, PBE-GGA
State: relaxed

Properties
D(E_F) = 5.732 states/eV per cell
ΔE to the lowest computed polymorph = 0.128 eV per atom
space-group type = R-3m (166)
energy relative to the elements = 0.205 eV per atom

Cell and atoms, written as extended XYZ:
```
4
Lattice="1.755 1.013 12.324 -1.755 1.013 12.324 0.000 -2.027 12.324" Properties=species:S:1:pos:R:3 pbc="T T T"
Li 0.000 0.000 0.000
Tb 0.000 0.000 3.250
Tb 0.000 0.000 33.721
Pr 0.000 0.000 18.485
```

Entry 19:
Material: Li4TbPr
Method: DFT, PBE-GGA
State: relaxed

Properties
D(E_F) = 5.661 states/eV per cell
space-group type = F-43m (216)
energy relative to the elements = 0.106 eV per atom

Cell and atoms, written as extended XYZ:
```
6
Lattice="0.000 4.189 4.189 4.189 0.000 4.189 4.189 4.189 0.000" Properties=species:S:1:pos:R:3 pbc="T T T"
Li 1.051 1.051 1.051
Li 3.138 3.138 1.051
Li 3.138 1.051 3.138
Li 1.051 3.138 3.138
Tb 4.189 4.189 4.189
Pr 6.283 6.283 6.283
```

Entry 20:
Material: LiTbPr6
Method: DFT, PBE-GGA
State: relaxed

Properties
D(E_F) = 13.332 states/eV per cell
space-group type = I4/mmm (139)
energy relative to the elements = 0.084 eV per atom

Cell and atoms, written as extended XYZ:
```
8
Lattice="-2.613 2.613 9.961 2.613 -2.613 9.961 2.613 2.613 -9.961" Properties=species:S:1:pos:R:3 pbc="T T T"
Li 0.000 0.000 0.000
Tb 0.000 0.000 9.961
Pr 2.613 0.000 2.385
Pr 0.000 0.000 5.007
Pr 2.613 0.000 7.577
Pr 0.000 2.613 2.385
Pr 0.000 0.000 14.916
Pr 0.000 2.613 7.577
```

| no. | final energy (eV per atom) |
| --- | --- |
| 1 | -4.39 |
| 2 | -4.55 |
| 3 | -2.72 |
| 4 | -2.46 |
| 5 | -3.67 |
| 6 | -3.96 |
| 7 | -3.91 |
| 8 | -3.87 |
| 9 | -3.87 |
| 10 | -3.91 |
| 11 | -4.23 |
| 12 | -3.97 |
| 13 | -4.40 |
| 14 | -3.65 |
| 15 | -3.82 |
| 16 | -3.72 |
| 17 | -3.69 |
| 18 | -3.78 |
| 19 | -2.74 |
| 20 | -4.32 |